Entry 1:
# Cs12KHg7

A relaxed Cs12KHg7 crystal (GGA-PBE, the Alexandria database).

abc: 11.895 11.895 11.895
angles: 107.02 107.02 107.02
Positions (direct):
Cs: 0.005 0.099 0.341
Cs: 0.099 0.341 0.005
Cs: 0.193 0.566 0.713
Cs: 0.287 0.807 0.434
Cs: 0.341 0.005 0.099
Cs: 0.434 0.287 0.807
Cs: 0.566 0.713 0.193
Cs: 0.659 0.995 0.901
Cs: 0.713 0.193 0.566
Cs: 0.807 0.434 0.287
Cs: 0.901 0.659 0.995
Cs: 0.995 0.901 0.659
K: 0.500 0.500 0.500
Hg: 0.000 0.000 0.000
Hg: 0.160 0.435 0.355
Hg: 0.355 0.160 0.435
Hg: 0.435 0.355 0.160
Hg: 0.565 0.645 0.840
Hg: 0.645 0.840 0.565
Hg: 0.840 0.565 0.645

Summary:
SG = No. 148
M_tot = 0.0 μB per cell
energy of formation from the pure elements = -130 meV/atom
E above lowest polymorph = 0 meV per atom

=====

Entry 2:
# SmDy2Ga2

A relaxed SmDy2Ga2 crystal (GGA-PBE, the Alexandria database).

abc: 6.530 6.530 5.856
angles: 102.26 102.26 33.39
Positions (direct):
Sm: 0.000 0.000 0.000
Dy: 0.362 0.362 0.431
Dy: 0.638 0.638 0.569
Ga: 0.294 0.294 0.888
Ga: 0.706 0.706 0.112

Summary:
SG = No. 12
M_tot = 0.0 μB per cell
energy of formation from the pure elements = -380 meV/atom
E above lowest polymorph = 108 meV per atom

=====

Entry 3:
# AlTcSn2I

A relaxed AlTcSn2I crystal (GGA-PBE, the Alexandria database).

abc: 5.791 5.791 5.356
angles: 90.00 90.00 90.00
Positions (direct):
Al: 0.000 0.000 0.000
Tc: 0.500 0.500 0.000
Sn: 0.000 0.500 0.500
Sn: 0.500 0.000 0.500
I: 0.000 0.000 0.500

Summary:
ΔE_f (raw) = 819 kJ/mol of formula units
SG = No. 123
M_tot = 3.9 μB per cell

=====

Entry 4:
# TlAg2Au2

A relaxed TlAg2Au2 crystal (GGA-PBE, the Alexandria database).

abc: 8.164 8.164 3.097
angles: 90.00 90.00 90.00
Positions (direct):
Tl: 0.000 0.000 0.000
Tl: 0.500 0.500 0.000
Ag: 0.167 0.333 0.500
Ag: 0.333 0.833 0.500
Ag: 0.667 0.167 0.500
Ag: 0.833 0.667 0.500
Au: 0.129 0.629 0.000
Au: 0.371 0.129 0.000
Au: 0.629 0.871 0.000
Au: 0.871 0.371 0.000

Summary:
SG = No. 127
M_tot = 0.0 μB per cell
energy of formation from the pure elements = 31 meV/atom
E above lowest polymorph = 2 meV per atom

=====

Entry 5:
# LiAl2Cl

A relaxed LiAl2Cl crystal (GGA-PBE, the Alexandria database).

abc: 8.611 8.611 8.611
angles: 21.18 21.18 21.18
Positions (direct):
Li: 0.000 0.000 0.000
Al: 0.251 0.251 0.251
Al: 0.749 0.749 0.749
Cl: 0.500 0.500 0.500

Summary:
ΔE_f (raw) = -31 kJ/mol of formula units
SG = No. 166
M_tot = 0.0 μB per cell
E above lowest polymorph = 417 meV per atom

=====

Entry 6:
# NaAcZnSb

A relaxed NaAcZnSb crystal (GGA-PBE, the Alexandria database).

abc: 5.494 5.494 5.494
angles: 60.00 60.00 60.00
Positions (direct):
Na: 0.000 0.000 0.000
Ac: 0.500 0.500 0.500
Zn: 0.250 0.250 0.250
Sb: 0.750 0.750 0.750

Summary:
ΔE_f (raw) = -159 kJ/mol of formula units
SG = No. 216
M_tot = 0.0 μB per cell

=====

Entry 7:
# PmSm2Y2Mg2

A relaxed PmSm2Y2Mg2 crystal (GGA-PBE, the Alexandria database).

abc: 8.720 8.720 8.720
angles: 36.88 36.88 36.88
Positions (direct):
Pm: 0.000 0.000 0.000
Sm: 0.157 0.157 0.157
Sm: 0.843 0.843 0.843
Y: 0.427 0.427 0.427
Y: 0.573 0.573 0.573
Mg: 0.290 0.290 0.290
Mg: 0.710 0.710 0.710

Summary:
SG = No. 166
M_tot = 0.0 μB per cell
energy of formation from the pure elements = -38 meV/atom

=====

Entry 8:
# HfCd2Cu

A relaxed HfCd2Cu crystal (GGA-PBE, the Alexandria database).

abc: 4.741 4.741 4.741
angles: 60.00 60.00 60.00
Positions (direct):
Hf: 0.000 0.000 0.000
Cd: 0.250 0.250 0.250
Cd: 0.750 0.750 0.750
Cu: 0.500 0.500 0.500

Summary:
SG = No. 225
M_tot = 0.0 μB per cell
energy of formation from the pure elements = 160 meV/atom

=====

Entry 9:
# TbNd3Y3S8

A relaxed TbNd3Y3S8 crystal (GGA-PBE, the Alexandria database).

abc: 8.001 8.001 8.001
angles: 59.42 59.42 59.42
Positions (direct):
Tb: 0.000 0.000 0.000
Nd: 0.000 0.000 0.500
Nd: 0.000 0.500 0.000
Nd: 0.500 0.000 0.000
Y: 0.000 0.500 0.500
Y: 0.500 0.000 0.500
Y: 0.500 0.500 0.000
S: 0.247 0.247 0.744
S: 0.247 0.744 0.247
S: 0.255 0.255 0.255
S: 0.256 0.753 0.753
S: 0.744 0.247 0.247
S: 0.745 0.745 0.745
S: 0.753 0.256 0.753
S: 0.753 0.753 0.256

Summary:
ΔE_f (raw) = -2973 kJ/mol of formula units
SG = No. 166
M_tot = 0.0 μB per cell

=====

Entry 10:
# MnOs2Cl

A relaxed MnOs2Cl crystal (GGA-PBE, the Alexandria database).

abc: 2.984 2.984 6.764
angles: 90.00 90.00 90.00
Positions (direct):
Mn: 0.000 0.000 0.000
Os: 0.500 0.500 0.202
Os: 0.500 0.500 0.798
Cl: 0.000 0.000 0.500

Summary:
ΔE_f (raw) = 279 kJ/mol of formula units
SG = No. 123
M_tot = 1.8 μB per cell
E above lowest polymorph = 406 meV per atom

=====

Entry 11:
# Ge2AuS4

A relaxed Ge2AuS4 crystal (GGA-PBE, the Alexandria database).

abc: 6.099 6.099 6.099
angles: 104.60 104.60 119.73
Positions (direct):
Ge: 0.250 0.750 0.500
Ge: 0.750 0.250 0.500
Au: 0.000 0.000 0.000
S: 0.151 0.316 0.467
S: 0.316 0.849 0.165
S: 0.684 0.151 0.835
S: 0.849 0.684 0.533

Summary:
ΔE_f (raw) = -23 kJ/mol of formula units
SG = No. 87
M_tot = 0.0 μB per cell

=====

Entry 12:
# Cs2KZnSn

A relaxed Cs2KZnSn crystal (GGA-PBE, the Alexandria database).

abc: 7.254 7.254 5.205
angles: 90.00 90.00 90.00
Positions (direct):
Cs: 0.000 0.500 0.000
Cs: 0.500 0.000 0.000
K: 0.000 0.000 0.500
Zn: 0.500 0.500 0.000
Sn: 0.500 0.500 0.500

Summary:
SG = No. 123
M_tot = 0.4 μB per cell
energy of formation from the pure elements = 34 meV/atom

=====

Entry 13:
# BaSrZn2Cu

A relaxed BaSrZn2Cu crystal (GGA-PBE, the Alexandria database).

abc: 5.839 5.839 7.499
angles: 90.00 90.00 90.00
Positions (direct):
Ba: 0.000 0.000 0.000
Sr: 0.000 0.000 0.500
Zn: 0.000 0.500 0.500
Zn: 0.500 0.000 0.500
Cu: 0.500 0.500 0.000

Summary:
SG = No. 123
M_tot = 0.0 μB per cell
energy of formation from the pure elements = 956 meV/atom

=====

Entry 14:
# La6InTc

A relaxed La6InTc crystal (GGA-PBE, the Alexandria database).

abc: 6.626 6.626 6.622
angles: 100.26 100.26 100.40
Positions (direct):
La: 0.085 0.702 0.703
La: 0.298 0.298 0.913
La: 0.298 0.915 0.297
La: 0.702 0.085 0.703
La: 0.702 0.702 0.087
La: 0.915 0.298 0.297
In: 0.500 0.500 0.500
Tc: 0.000 0.000 0.000

Summary:
SG = No. 12
M_tot = 0.0 μB per cell
energy of formation from the pure elements = -66 meV/atom

=====

Entry 15:
# SrAsSe2O

A relaxed SrAsSe2O crystal (GGA-PBE, the Alexandria database).

abc: 4.939 4.939 4.255
angles: 90.00 90.00 90.00
Positions (direct):
Sr: 0.000 0.000 0.000
As: 0.500 0.500 0.000
Se: 0.000 0.500 0.500
Se: 0.500 0.000 0.500
O: 0.500 0.500 0.500

Summary:
ΔE_f (raw) = -214 kJ/mol of formula units
SG = No. 123
M_tot = 0.0 μB per cell
E above lowest polymorph = 0 meV per atom

=====

Entry 16:
# Tb4CeTl7

A relaxed Tb4CeTl7 crystal (GGA-PBE, the Alexandria database).

abc: 7.282 7.282 11.559
angles: 120.73 120.73 46.78
Positions (direct):
Tb: 0.086 0.086 0.282
Tb: 0.222 0.222 0.829
Tb: 0.778 0.778 0.171
Tb: 0.914 0.914 0.718
Ce: 0.500 0.500 0.500
Tl: 0.000 0.000 0.500
Tl: 0.134 0.134 0.044
Tl: 0.286 0.286 0.603
Tl: 0.420 0.420 0.173
Tl: 0.580 0.580 0.827
Tl: 0.714 0.714 0.397
Tl: 0.866 0.866 0.956

Summary:
SG = No. 12
M_tot = 1.1 μB per cell
energy of formation from the pure elements = -89 meV/atom

=====

Entry 17:
# AlP4Cl

A relaxed AlP4Cl crystal (GGA-PBE, the Alexandria database).

abc: 5.884 5.884 5.884
angles: 60.00 60.00 60.00
Positions (direct):
Al: 0.000 0.000 0.000
P: 0.406 0.406 0.406
P: 0.406 0.406 0.781
P: 0.406 0.781 0.406
P: 0.781 0.406 0.406
Cl: 0.750 0.750 0.750

Summary:
ΔE_f (raw) = 87 kJ/mol of formula units
SG = No. 216
M_tot = 0.0 μB per cell
E above lowest polymorph = 421 meV per atom

=====

Entry 18:
# RbNa17Ca

A relaxed RbNa17Ca crystal (GGA-PBE, the Alexandria database).

abc: 9.276 9.276 9.276
angles: 78.81 78.81 78.81
Positions (direct):
Rb: 0.000 0.000 0.000
Na: 0.022 0.341 0.633
Na: 0.022 0.633 0.341
Na: 0.228 0.665 0.665
Na: 0.247 0.247 0.247
Na: 0.313 0.313 0.858
Na: 0.313 0.858 0.313
Na: 0.341 0.022 0.633
Na: 0.341 0.633 0.022
Na: 0.427 0.427 0.427
Na: 0.556 0.938 0.938
Na: 0.633 0.022 0.341
Na: 0.633 0.341 0.022
Na: 0.665 0.228 0.665
Na: 0.665 0.665 0.228
Na: 0.858 0.313 0.313
Na: 0.938 0.556 0.938
Na: 0.938 0.938 0.556
Ca: 0.647 0.647 0.647

Summary:
SG = No. 160
M_tot = 0.0 μB per cell
energy of formation from the pure elements = 43 meV/atom

=====

Entry 19:
# PrAlSe3

A relaxed PrAlSe3 crystal (GGA-PBE, the Alexandria database).

abc: 7.365 7.248 10.225
angles: 90.00 90.00 90.00
Positions (direct):
Pr: 0.119 0.085 0.000
Pr: 0.381 0.585 0.500
Pr: 0.619 0.415 0.000
Pr: 0.881 0.915 0.500
Al: 0.210 0.647 0.144
Al: 0.290 0.147 0.644
Al: 0.710 0.853 0.144
Al: 0.790 0.353 0.644
Se: 0.057 0.305 0.505
Se: 0.189 0.845 0.689
Se: 0.200 0.852 0.326
Se: 0.300 0.352 0.826
Se: 0.311 0.345 0.189
Se: 0.443 0.805 0.005
Se: 0.557 0.195 0.505
Se: 0.689 0.655 0.689
Se: 0.700 0.648 0.326
Se: 0.800 0.148 0.826
Se: 0.811 0.155 0.189
Se: 0.943 0.695 0.005

Summary:
ΔE_f (raw) = -652 kJ/mol of formula units
SG = No. 33
M_tot = 0.0 μB per cell
E above lowest polymorph = 0 meV per atom

=====

Entry 20:
# TaMn3As

A relaxed TaMn3As crystal (GGA-PBE, the Alexandria database).

abc: 4.679 4.679 4.679
angles: 90.00 90.00 90.00
Positions (direct):
Ta: 0.000 0.000 0.000
Mn: 0.000 0.000 0.500
Mn: 0.000 0.500 0.000
Mn: 0.500 0.000 0.000
As: 0.500 0.500 0.500

Summary:
SG = No. 221
M_tot = 8.4 μB per cell
energy of formation from the pure elements = 1364 meV/atom
E above lowest polymorph = 531 meV per atom

=====

Entry 21:
# KBaCo3

A relaxed KBaCo3 crystal (GGA-PBE, the Alexandria database).

abc: 5.409 5.409 5.409
angles: 90.00 90.00 90.00
Positions (direct):
K: 0.000 0.000 0.000
Ba: 0.500 0.500 0.500
Co: 0.000 0.000 0.500
Co: 0.000 0.500 0.000
Co: 0.500 0.000 0.000

Summary:
SG = No. 221
M_tot = 6.0 μB per cell
energy of formation from the pure elements = 1876 meV/atom
E above lowest polymorph = 0 meV per atom

=====

Entry 22:
# Fe4Ni3Pt2

A relaxed Fe4Ni3Pt2 crystal (GGA-PBE, the Alexandria database).

abc: 5.119 11.303 4.105
angles: 90.00 90.00 90.00
Positions (direct):
Fe: 0.139 0.109 0.000
Fe: 0.140 0.797 0.500
Fe: 0.360 0.297 0.000
Fe: 0.361 0.609 0.500
Fe: 0.639 0.391 0.500
Fe: 0.640 0.703 0.000
Fe: 0.860 0.203 0.500
Fe: 0.861 0.891 0.000
Ni: 0.000 0.000 0.500
Ni: 0.138 0.675 0.000
Ni: 0.362 0.175 0.500
Ni: 0.500 0.500 0.000
Ni: 0.638 0.825 0.500
Ni: 0.862 0.325 0.000
Pt: 0.148 0.401 0.500
Pt: 0.352 0.901 0.000
Pt: 0.648 0.099 0.000
Pt: 0.852 0.599 0.500

Summary:
SG = No. 58
M_tot = 28.6 μB per cell
energy of formation from the pure elements = 20 meV/atom

=====

Entry 23:
# LaMnCd4

A relaxed LaMnCd4 crystal (GGA-PBE, the Alexandria database).

abc: 5.871 5.871 5.871
angles: 60.00 60.00 60.00
Positions (direct):
La: 0.000 0.000 0.000
Mn: 0.750 0.750 0.750
Cd: 0.375 0.375 0.375
Cd: 0.375 0.375 0.874
Cd: 0.375 0.874 0.375
Cd: 0.874 0.375 0.375

Summary:
SG = No. 216
M_tot = 3.6 μB per cell
energy of formation from the pure elements = 42 meV/atom